The following is a DFT calculation (GGA-PBE) of a relaxed structure of Er12Tl5Bi2.

Values from the calculation:
For the magnetization, the calculation gives 0.00 Bohr magnetons per cell. The space group is No. 12. The calculated total energy is -4.040 eV per atom. The calculation puts the density at 9.48 Mg/m³. The value obtained for the formation energy is -0.1271 eV per atom.

a b c (Å): 7.245 9.231 10.026
angles (deg): 100.75 90.00 113.11
Fractional positions:
Er1 0.115 0.706 0.448
Er2 0.885 0.294 0.552
Tl1 0.000 0.000 0.500
Tl2 0.329 0.658 0.174
Bi1 0.244 0.000 0.000
Er3 0.490 0.980 0.709
Er4 0.899 0.798 0.189
Er5 0.437 0.362 0.106
Er6 0.075 0.638 0.894
Tl3 0.711 0.421 0.350
Er7 0.510 0.020 0.291
Er8 0.101 0.202 0.811
Tl4 0.671 0.342 0.826
Bi2 0.756 0.000 0.000
Er9 0.925 0.362 0.106
Tl5 0.289 0.579 0.650
Er10 0.563 0.638 0.894
Er11 0.409 0.294 0.552
Er12 0.591 0.706 0.448